! K3PdC (SCAN, single point on PBEsol structure); values from VASP
! Energy of formation in eV per atom: 0.946
! SG: No. 221
! E_tot in eV/atom: -12.626
! Crystal system: cubic
! Magnetization in μB per cell: 3.12
&SYSTEM
  ibrav = 0, nat = 5, ntyp = 3
/
ATOMIC_SPECIES
K 39.10 K.upf
Pd 106.42 Pd.upf
C 12.01 C.upf
ATOMIC_POSITIONS crystal
K 0.000 0.000 0.500
K 0.000 0.500 0.000
K 0.500 0.000 0.000
Pd 0.500 0.500 0.500
C 0.000 0.000 0.000
CELL_PARAMETERS angstrom
5.506 0.000 0.000
0.000 5.506 0.000
0.000 0.000 5.506